! La2CdInS5 (PBE, optimized geometry); values from VASP
&SYSTEM
  ibrav = 0, nat = 18, ntyp = 4
/
ATOMIC_SPECIES
La 138.91 La.upf
Cd 112.41 Cd.upf
In 114.82 In.upf
S 32.06 S.upf
ATOMIC_POSITIONS crystal
La 0.114 0.886 0.500
La 0.136 0.864 0.121
La 0.864 0.136 0.621
La 0.886 0.114 0.000
Cd 0.215 0.785 0.831
Cd 0.785 0.215 0.331
In 0.456 0.544 0.277
In 0.544 0.456 0.777
S 0.050 0.950 0.897
S 0.284 0.716 0.485
S 0.315 0.685 0.176
S 0.369 0.631 0.814
S 0.494 0.506 0.583
S 0.506 0.494 0.083
S 0.631 0.369 0.314
S 0.685 0.315 0.676
S 0.716 0.284 0.985
S 0.950 0.050 0.397
CELL_PARAMETERS angstrom
2.036 -8.502 0.000
2.036 8.502 0.000
0.000 0.000 12.163
! Density: 5.2 Mg/m³
! M_tot: 0.000 μB/cell
! VASP energy: -0.1881 hartree per atom